# 1
BeTe2Mo | PBE | optimized geometry

Lattice parameters (Å, degrees): 8.614 8.614 8.614 23.44 23.44 23.44
Fractional coordinates of all 4 atoms:
Be (0.000, 0.000, 0.000)
Te (0.093, 0.093, 0.093)
Te (0.907, 0.907, 0.907)
Mo (0.500, 0.500, 0.500)

Computed properties:
Raw formation energy (eV per atom): 0.412
Raw total energy (eV per cell): -19.19
Mass density (g/cm3): 6.74

# 2
CsMgZn3 | PBE | optimized geometry

Lattice parameters (Å, degrees): 6.695 6.695 6.695 90.00 90.00 90.00
Fractional coordinates of all 5 atoms:
Cs (0.000, 0.000, 0.000)
Mg (0.500, 0.500, 0.500)
Zn (0.000, 0.000, 0.500)
Zn (0.000, 0.500, 0.000)
Zn (0.500, 0.000, 0.000)

Computed properties:
ΔE_f (meV/atom): 880
Offset from the most stable computed form (kJ/mol of formula units): 294.9
Raw total energy (eV per cell): -1.87
Mass density (g/cm3): 1.96

# 3
NaSrNbBiO6 | PBE | optimized geometry

Lattice parameters (Å, degrees): 5.952 5.952 5.952 60.00 60.00 60.00
Fractional coordinates of all 10 atoms:
Na (0.000, 0.000, 0.000)
Sr (0.500, 0.500, 0.500)
Nb (0.250, 0.250, 0.250)
Bi (0.750, 0.750, 0.750)
O (0.012, 0.012, 0.488)
O (0.012, 0.488, 0.012)
O (0.012, 0.488, 0.488)
O (0.488, 0.012, 0.012)
O (0.488, 0.012, 0.488)
O (0.488, 0.488, 0.012)

Computed properties:
Raw formation energy (eV per atom): -2.015
Raw total energy (eV per cell): -66.85
Mass density (g/cm3): 5.66

# 4
CaPmPdSe | PBE | optimized geometry

Lattice parameters (Å, degrees): 5.110 5.110 5.110 60.00 60.00 60.00
Fractional coordinates of all 4 atoms:
Ca (0.000, 0.000, 0.000)
Pm (0.500, 0.500, 0.500)
Pd (0.750, 0.750, 0.750)
Se (0.250, 0.250, 0.250)

Computed properties:
Raw formation energy (eV per atom): -0.988
Raw total energy (eV per cell): -19.38
Mass density (g/cm3): 6.52

# 5
TbCu12 | PBE | optimized geometry

Lattice parameters (Å, degrees): 6.457 6.457 6.457 98.15 98.15 135.76
Fractional coordinates of all 13 atoms:
Tb (0.000, 0.000, 0.000)
Cu (0.000, 0.000, 0.500)
Cu (0.000, 0.355, 0.355)
Cu (0.000, 0.500, 0.000)
Cu (0.000, 0.645, 0.645)
Cu (0.277, 0.500, 0.777)
Cu (0.355, 0.000, 0.355)
Cu (0.500, 0.000, 0.000)
Cu (0.500, 0.277, 0.777)
Cu (0.500, 0.500, 0.500)
Cu (0.500, 0.723, 0.223)
Cu (0.645, 0.000, 0.645)
Cu (0.723, 0.500, 0.223)

Computed properties:
ΔE_f (meV/atom): -81
Raw total energy (eV per cell): -54.84
Mass density (g/cm3): 8.79

# 6
La2Mg2Au | PBE | optimized geometry

Lattice parameters (Å, degrees): 7.087 7.087 5.424 90.00 90.00 90.00
Fractional coordinates of all 10 atoms:
La (0.166, 0.334, 0.000)
La (0.334, 0.834, 0.000)
La (0.666, 0.166, 0.000)
La (0.834, 0.666, 0.000)
Mg (0.146, 0.646, 0.500)
Mg (0.354, 0.146, 0.500)
Mg (0.646, 0.854, 0.500)
Mg (0.854, 0.354, 0.500)
Au (0.000, 0.000, 0.500)
Au (0.500, 0.500, 0.500)

Computed properties:
ΔE_f (meV/atom): -276
Raw total energy (eV per cell): -35.40
Mass density (g/cm3): 6.38

> raw total energy of number 4 (CaPmPdSe)?

-19.38 eV per cell